Record 1
# IrPtN2F

Crystalline IrPtN2F at its relaxed geometry (PBE-GGA, Alexandria).

The space group is P4/mmm (No. 123) and the conventional cell measures 3.8534, 3.8534 and 4.2241 Å, with angles of 90.00, 90.00 and 90.00 degrees. Symmetry generates all atoms from Ir at (0.0000, 0.0000, 0.0000), Pt at (0.5000, 0.5000, 0.5000), N at (0.0000, 0.5000, 0.0000) and F at (0.0000, 0.0000, 0.5000).

As for the volume: 62.7 Å³/f.u. The value obtained for the theoretical density is 11.50 g cm⁻³. The calculation puts the formation energy from raw total energies at 1.070 eV per atom.

***

Record 2
# IrPtNF2

Crystalline IrPtNF2 at its relaxed geometry (PBE-GGA, Alexandria).

The space group is P4/mmm (No. 123) and the conventional cell measures 4.3130, 4.3130 and 3.7201 Å, with angles of 90.00, 90.00 and 90.00 degrees. Symmetry generates all atoms from Ir at (0.0000, 0.0000, 0.0000), Pt at (0.5000, 0.5000, 0.5000), N at (0.0000, 0.0000, 0.5000) and F at (0.0000, 0.5000, 0.0000).

As for the volume: 69.2 Å³/f.u. The value obtained for the theoretical density is 10.54 g cm⁻³. The calculation puts the formation energy from raw total energies at 0.445 eV per atom.

***

Record 3
# IrPtNF2

Crystalline IrPtNF2 at its relaxed geometry (PBE-GGA, Alexandria).

The space group is P4/mmm (No. 123) and the conventional cell measures 4.5056, 4.5056 and 3.6696 Å, with angles of 90.00, 90.00 and 90.00 degrees. Symmetry generates all atoms from Ir at (0.0000, 0.0000, 0.0000), Pt at (0.5000, 0.5000, 0.5000), N at (0.5000, 0.5000, 0.0000) and F at (0.0000, 0.5000, 0.5000).

As for the volume: 74.5 Å³/f.u. The value obtained for the theoretical density is 9.79 g cm⁻³. The calculation puts the formation energy from raw total energies at 0.894 eV per atom.

***

Record 4
# Ir2PtNF

Crystalline Ir2PtNF at its relaxed geometry (PBE-GGA, Alexandria).

The space group is P4/mmm (No. 123) and the conventional cell measures 3.9954, 3.9954 and 4.3007 Å, with angles of 90.00, 90.00 and 90.00 degrees. Symmetry generates all atoms from Ir at (0.0000, 0.5000, 0.0000), Pt at (0.0000, 0.0000, 0.5000), N at (0.0000, 0.0000, 0.0000) and F at (0.5000, 0.5000, 0.5000).

As for the volume: 68.7 Å³/f.u. The value obtained for the theoretical density is 14.82 g cm⁻³. The calculation puts the formation energy from raw total energies at 0.751 eV per atom.

***

Record 5
# Ir2PtNF

Crystalline Ir2PtNF at its relaxed geometry (PBE-GGA, Alexandria).

The space group is P4/mmm (No. 123) and the conventional cell measures 3.9606, 3.9606 and 4.1520 Å, with angles of 90.00, 90.00 and 90.00 degrees. Symmetry generates all atoms from Ir at (0.0000, 0.5000, 0.0000), Pt at (0.0000, 0.0000, 0.5000), N at (0.5000, 0.5000, 0.0000) and F at (0.5000, 0.5000, 0.5000).

As for the volume: 65.1 Å³/f.u. The value obtained for the theoretical density is 15.62 g cm⁻³. The calculation puts the formation energy from raw total energies at 0.558 eV per atom.

***

Record 6
# IrPtN2F

Crystalline IrPtN2F at its relaxed geometry (PBE-GGA, Alexandria).

The space group is P4/mmm (No. 123) and the conventional cell measures 3.9231, 3.9231 and 4.1433 Å, with angles of 90.00, 90.00 and 90.00 degrees. Symmetry generates all atoms from Ir at (0.0000, 0.0000, 0.0000), Pt at (0.5000, 0.5000, 0.5000), N at (0.0000, 0.5000, 0.5000) and F at (0.5000, 0.5000, 0.0000).

As for the volume: 63.8 Å³/f.u. The value obtained for the theoretical density is 11.31 g cm⁻³. The calculation puts the formation energy from raw total energies at 1.682 eV per atom.